VASP calculation (GGA-PBE) on an optimized crystal structure of DyLuIrAu.

Results
- Formation enthalpy at 0 K: -864 meV per atom
- Symmetry: No. 216
- E: -6.1795 eV/atom

Lattice parameters (Å, degrees): 4.917 4.917 4.917 60.00 60.00 60.00
Element x y z (fractional)
1 Dy 0.000 0.000 0.000
2 Lu 0.500 0.500 0.500
3 Ir 0.250 0.250 0.250
4 Au 0.750 0.750 0.750